1.
{"formula": "Y2HoCd4", "functional": "PBE", "state": "optimized geometry", "lattice": [[-2.6709, 2.6709, 6.8388], [2.6709, -2.6709, 6.8388], [2.6709, 2.6709, -6.8388]], "species": ["Y", "Y", "Ho", "Cd", "Cd", "Cd", "Cd"], "frac_coords": [[0.2399, 0.2399, 0.0000], [0.7601, 0.7601, 0.0000], [0.5000, 0.5000, 0.0000], [0.1141, 0.6141, 0.5000], [0.3859, 0.8859, 0.5000], [0.6141, 0.1141, 0.5000], [0.8859, 0.3859, 0.5000]], "formation_energy_kj_per_mol_atoms": -17, "volume_a3_per_fu": 195, "sg": "I4/mmm"}

=====

2.
{"formula": "HoSnI", "functional": "PBE", "state": "optimized geometry", "lattice": [[0.0000, 6.8276, 4.6445], [6.5085, 0.0000, 4.6445], [6.5085, 6.8276, 0.0000]], "species": ["Ho", "Ho", "Ho", "Ho", "Sn", "Sn", "Sn", "Sn", "I", "I", "I", "I"], "frac_coords": [[0.2462, 0.7538, 0.3163], [0.5663, 0.9337, 0.4962], [0.7538, 0.2462, 0.6837], [0.9337, 0.5663, 0.0038], [0.1282, 0.9625, 0.5741], [0.6759, 0.9148, 0.1218], [0.9148, 0.6759, 0.2875], [0.9625, 0.1282, 0.3352], [0.0076, 0.3960, 0.7412], [0.3948, 0.5088, 0.8540], [0.3960, 0.0076, 0.8552], [0.5088, 0.3948, 0.2424]], "e_form_raw_ev_per_atom": -0.63, "volume_a3_per_fu": 103, "sg": "Fdd2"}

=====

3.
{"formula": "Nd4ZrHg5", "functional": "PBE", "state": "optimized geometry", "lattice": [[3.7546, 0.0000, 0.0000], [0.0000, 3.7546, 0.0000], [0.0000, 0.0000, 19.0495]], "species": ["Nd", "Nd", "Nd", "Nd", "Zr", "Hg", "Hg", "Hg", "Hg", "Hg"], "frac_coords": [[0.0000, 0.0000, 0.1040], [0.0000, 0.0000, 0.3124], [0.0000, 0.0000, 0.6876], [0.0000, 0.0000, 0.8960], [0.0000, 0.0000, 0.5000], [0.5000, 0.5000, 0.0000], [0.5000, 0.5000, 0.2075], [0.5000, 0.5000, 0.4163], [0.5000, 0.5000, 0.5837], [0.5000, 0.5000, 0.7925]], "formation_energy_kj_per_mol_atoms": -37, "volume_a3_per_fu": 269, "sg": "P4/mmm"}

=====

4.
{"formula": "AcCe3Pr4S8", "functional": "PBE", "state": "optimized geometry", "lattice": [[4.1092, 2.3725, 6.6958], [-4.1092, 2.3725, 6.6958], [0.0000, -4.7449, 6.6958]], "species": ["Ac", "Ce", "Ce", "Ce", "Pr", "Pr", "Pr", "Pr", "S", "S", "S", "S", "S", "S", "S", "S"], "frac_coords": [[0.0000, 0.0000, 0.0000], [0.0000, 0.5000, 0.5000], [0.5000, 0.0000, 0.5000], [0.5000, 0.5000, 0.0000], [0.0000, 0.0000, 0.5000], [0.0000, 0.5000, 0.0000], [0.5000, 0.0000, 0.0000], [0.5000, 0.5000, 0.5000], [0.2521, 0.2521, 0.2521], [0.2539, 0.2539, 0.7418], [0.2539, 0.7418, 0.2539], [0.2582, 0.7461, 0.7461], [0.7418, 0.2539, 0.2539], [0.7461, 0.2582, 0.7461], [0.7461, 0.7461, 0.2582], [0.7479, 0.7479, 0.7479]], "e_form_raw_ev_per_atom": -2.02, "volume_a3_per_fu": 392, "sg": "R-3m"}

=====

5.
{"formula": "NdSiO3", "functional": "PBE", "state": "optimized geometry", "lattice": [[6.1567, 0.0000, 0.0000], [0.0000, 5.5497, 0.0000], [-4.1642, 0.0000, 10.1095]], "species": ["Nd", "Nd", "Nd", "Nd", "Si", "Si", "Si", "Si", "O", "O", "O", "O", "O", "O", "O", "O", "O", "O", "O", "O"], "frac_coords": [[0.2079, 0.0513, 0.1824], [0.2079, 0.4487, 0.6824], [0.7921, 0.5513, 0.3176], [0.7921, 0.9487, 0.8176], [0.3345, 0.5718, 0.4135], [0.3345, 0.9282, 0.9135], [0.6655, 0.0718, 0.0865], [0.6655, 0.4282, 0.5865], [0.1598, 0.6828, 0.4828], [0.1598, 0.8172, 0.9828], [0.1612, 0.1309, 0.8090], [0.1612, 0.3691, 0.3090], [0.4370, 0.7481, 0.8267], [0.4370, 0.7519, 0.3267], [0.5630, 0.2481, 0.6733], [0.5630, 0.2519, 0.1733], [0.8388, 0.6309, 0.6910], [0.8388, 0.8691, 0.1910], [0.8402, 0.1828, 0.0172], [0.8402, 0.3172, 0.5172]], "e_form_raw_ev_per_atom": -2.90, "volume_a3_per_fu": 86, "sg": "P2_1/c"}

=====

6.
{"formula": "Sb3Pt", "functional": "PBE", "state": "optimized geometry", "lattice": [[6.7670, 0.0000, 0.0000], [-3.3835, 5.8604, 0.0000], [0.0000, 0.0000, 5.1327]], "species": ["Sb", "Sb", "Sb", "Sb", "Sb", "Sb", "Pt", "Pt"], "frac_coords": [[0.0000, 0.3011, 0.0000], [0.0000, 0.6989, 0.5000], [0.3011, 0.0000, 0.0000], [0.3011, 0.3011, 0.5000], [0.6989, 0.0000, 0.5000], [0.6989, 0.6989, 0.0000], [0.3333, 0.6667, 0.2500], [0.6667, 0.3333, 0.7500]], "e_form_raw_ev_per_atom": -0.20, "volume_a3_per_fu": 102, "sg": "P6_322"}

=====

Number 1: total DFT energy (no corrections) -0.117 hartree per atom. Number 2: total DFT energy (no corrections) -0.147 hartree per atom. Number 3: total DFT energy (no corrections) -0.121 hartree per atom. Number 4: total DFT energy (no corrections) -0.244 hartree per atom. Number 5: total DFT energy (no corrections) -0.291 hartree per atom. Number 6: total DFT energy (no corrections) -0.177 hartree per atom.